# 1
This record from OQMD describes an optimized crystal structure of KSbOs. The functional is PBE.

The structure in extended XYZ format:
```
12
Lattice="6.663 0.000 0.000 0.000 6.663 0.000 0.000 0.000 6.663" Properties=species:S:1:pos:R:3 pbc="T T T"
K 0.000 0.000 0.000
K 0.000 3.331 3.331
K 3.331 0.000 3.331
K 3.331 3.331 0.000
Sb 0.000 0.000 3.331
Sb 0.000 3.331 0.000
Sb 3.331 0.000 0.000
Sb 3.331 3.331 3.331
Os 1.666 1.666 1.666
Os 1.666 4.997 4.997
Os 4.997 1.666 4.997
Os 4.997 4.997 1.666
```

## Properties
distance to the lowest polymorph of the same formula	0.00	kJ per mole of atoms
DFT total energy	-53.8	eV/cell
symmetry	F-43m (216)

***

# 2
This record from OQMD describes an optimized crystal structure of KSb5Os3. The functional is PBE.

The structure in extended XYZ format:
```
9
Lattice="5.726 0.000 0.000 -2.863 4.959 0.000 0.000 0.000 8.617" Properties=species:S:1:pos:R:3 pbc="T T T"
K 0.000 0.000 0.000
Sb 0.000 0.000 4.309
Sb 0.000 3.306 2.158
Sb 0.000 3.306 6.459
Sb 2.863 1.653 2.158
Sb 2.863 1.653 6.459
Os -1.431 2.479 4.309
Os 2.863 0.000 4.309
Os 1.431 2.479 4.309
```

## Properties
DFT total energy	-53.2	eV/cell
symmetry	P6/mmm (191)

***

# 3
This record from OQMD describes an optimized crystal structure of KOs3Se5. The functional is PBE.

The structure in extended XYZ format:
```
9
Lattice="5.843 0.000 0.000 -2.921 5.060 0.000 0.000 0.000 7.270" Properties=species:S:1:pos:R:3 pbc="T T T"
K 0.000 0.000 0.000
Os -1.461 2.530 3.635
Os 2.921 0.000 3.635
Os 1.461 2.530 3.635
Se 0.000 0.000 3.635
Se 0.000 3.373 1.826
Se 0.000 3.373 5.444
Se 2.921 1.687 1.826
Se 2.921 1.687 5.444
```

## Properties
DFT total energy	-52.3	eV/cell
symmetry	P6/mmm (191)